# 1
! PBE PuSc2ZnAu4, optimized geometry; values from VASP
! D(E_F) = 1.762 states/eV/atom
! E_form = -0.537 eV per atom
! DFT total energy = -5.710 eV/atom
! crystal system = trigonal
&SYSTEM
  ibrav = 0, nat = 8, ntyp = 4
/
ATOMIC_SPECIES
Au 196.97 Au.upf
Pu 244.00 Pu.upf
Zn 65.41 Zn.upf
Sc 44.96 Sc.upf
ATOMIC_POSITIONS crystal
Au 0.6084 0.6084 0.1748
Pu 0.0000 0.0000 0.0000
Au 0.1255 0.1255 0.6236
Au 0.3916 0.3916 0.8252
Zn 0.5000 0.5000 0.5000
Sc 0.7592 0.7592 0.7224
Sc 0.2408 0.2408 0.2776
Au 0.8745 0.8745 0.3764
CELL_PARAMETERS angstrom
4.7470 0.0000 0.0000
2.3735 4.1111 0.0000
2.3735 1.3704 8.3470

# 2
! PBE Pu2AuSe, optimized geometry; values from VASP
! raw formation energy = -823 meV/atom
! D(E_F) = 4.051 states/eV/atom
! DFT total energy = -9.679 eV/atom
! crystal system = tetragonal
&SYSTEM
  ibrav = 0, nat = 4, ntyp = 3
/
ATOMIC_SPECIES
Au 196.97 Au.upf
Se 78.96 Se.upf
Pu 244.00 Pu.upf
ATOMIC_POSITIONS crystal
Au 0.5000 0.5000 0.5000
Se 0.5000 0.5000 0.0000
Pu 0.0000 0.0000 0.2393
Pu 0.0000 0.0000 0.7607
CELL_PARAMETERS angstrom
3.5789 0.0000 0.0000
0.0000 3.5789 0.0000
0.0000 0.0000 7.3390

# 3
! PBE PuAuSe2, optimized geometry; values from VASP
! raw formation energy = -857 meV/atom
! D(E_F) = 1.793 states/eV/atom
! DFT total energy = -7.002 eV/atom
! crystal system = trigonal
&SYSTEM
  ibrav = 0, nat = 4, ntyp = 3
/
ATOMIC_SPECIES
Se 78.96 Se.upf
Au 196.97 Au.upf
Pu 244.00 Pu.upf
ATOMIC_POSITIONS crystal
Se 0.1050 0.1050 0.6849
Au 0.0000 0.0000 0.0000
Se 0.8950 0.8950 0.3151
Pu 0.5000 0.5000 0.5000
CELL_PARAMETERS angstrom
-1.6687 4.0282 -0.5107
-3.4632 1.2599 2.3855
3.0210 4.4161 6.0928

# 4
! PBE Pu3Au5Se12, optimized geometry; values from VASP
! raw formation energy = -462 meV/atom
! D(E_F) = 1.745 states/eV/atom
! DFT total energy = -5.522 eV/atom
! crystal system = cubic
&SYSTEM
  ibrav = 0, nat = 80, ntyp = 3
/
ATOMIC_SPECIES
Se 78.96 Se.upf
Au 196.97 Au.upf
Pu 244.00 Pu.upf
ATOMIC_POSITIONS crystal
Se 0.1325 0.7167 0.5473
Se 0.9149 0.0842 0.8675
Se 0.4527 0.6693 0.0851
Se 0.7167 0.1325 0.0473
Se 0.9158 0.8307 0.7833
Se 0.7833 0.4527 0.3675
Au 0.5000 0.0000 0.0000
Pu 0.6250 0.2500 0.3750
Se 0.5473 0.2167 0.1325
Au 0.3750 0.2500 0.1250
Pu 0.7500 0.3750 0.1250
Au 0.1250 0.3750 0.2500
Se 0.4149 0.0473 0.3307
Se 0.6325 0.0473 0.2167
Se 0.1693 0.0851 0.9527
Se 0.0842 0.1693 0.2167
Se 0.2167 0.6693 0.0842
Au 0.8750 0.6250 0.7500
Se 0.5851 0.6325 0.4158
Pu 0.8750 0.1250 0.2500
Au 0.0000 0.5000 0.5000
Se 0.8307 0.9149 0.0473
Se 0.0851 0.9158 0.1325
Au 0.5000 0.5000 0.5000
Pu 0.3750 0.6250 0.2500
Se 0.1325 0.4158 0.0851
Se 0.3675 0.4149 0.0842
Au 0.0000 0.0000 0.0000
Au 0.1250 0.7500 0.3750
Se 0.3307 0.7833 0.4158
Se 0.5842 0.8675 0.4149
Se 0.6693 0.2167 0.5842
Au 0.8750 0.2500 0.6250
Se 0.7833 0.3307 0.9158
Au 0.0000 0.0000 0.5000
Au 0.2500 0.3750 0.6250
Au 0.2500 0.8750 0.1250
Se 0.8675 0.2833 0.4527
Se 0.4527 0.7833 0.8675
Se 0.0473 0.4149 0.8307
Au 0.6250 0.8750 0.2500
Se 0.6693 0.4527 0.5851
Pu 0.1250 0.8750 0.7500
Se 0.5851 0.9527 0.6693
Au 0.7500 0.1250 0.8750
Au 0.6250 0.7500 0.8750
Se 0.9149 0.8307 0.5473
Se 0.7167 0.5842 0.1693
Se 0.2167 0.5473 0.6325
Se 0.6325 0.5851 0.9158
Se 0.3307 0.5473 0.4149
Se 0.0851 0.1693 0.4527
Au 0.7500 0.6250 0.3750
Au 0.3750 0.1250 0.7500
Se 0.0473 0.6325 0.7167
Se 0.8675 0.5842 0.9149
Pu 0.2500 0.1250 0.3750
Se 0.8307 0.9158 0.2833
Au 0.5000 0.0000 0.5000
Se 0.4149 0.3675 0.5842
Au 0.0000 0.5000 0.0000
Se 0.4158 0.2833 0.3307
Se 0.5473 0.3307 0.9149
Pu 0.7500 0.8750 0.6250
Se 0.2833 0.8675 0.9527
Pu 0.3750 0.7500 0.6250
Se 0.5842 0.7167 0.6693
Au 0.5000 0.5000 0.0000
Se 0.4158 0.1325 0.5851
Pu 0.1250 0.2500 0.8750
Se 0.9527 0.3675 0.2833
Se 0.9527 0.5851 0.1693
Se 0.0842 0.9149 0.3675
Pu 0.6250 0.3750 0.7500
Pu 0.2500 0.6250 0.8750
Se 0.2833 0.4158 0.8307
Se 0.9158 0.0851 0.6325
Se 0.1693 0.0842 0.7167
Se 0.3675 0.9527 0.7833
Pu 0.8750 0.7500 0.1250
CELL_PARAMETERS angstrom
-5.8756 10.6336 -6.6855
-7.8689 -11.3191 -1.5004
1.1498 3.0776 13.4722

# 5
! PBE Pu2AuSe, optimized geometry; values from VASP
! raw formation energy = -797 meV/atom
! D(E_F) = 5.551 states/eV/atom
! DFT total energy = -9.653 eV/atom
! crystal system = trigonal
&SYSTEM
  ibrav = 0, nat = 4, ntyp = 3
/
ATOMIC_SPECIES
Au 196.97 Au.upf
Pu 244.00 Pu.upf
Se 78.96 Se.upf
ATOMIC_POSITIONS crystal
Au 0.5000 0.5000 0.5000
Pu 0.7478 0.7478 0.7566
Se 0.0000 0.0000 0.0000
Pu 0.2522 0.2522 0.2434
CELL_PARAMETERS angstrom
-1.0467 3.8347 0.8943
-0.8186 1.0425 3.8527
6.5115 3.3267 2.6376

# 6
! PBE Pu2AuSe, optimized geometry; values from VASP
! raw formation energy = -729 meV/atom
! D(E_F) = 5.071 states/eV/atom
! DFT total energy = -9.585 eV/atom
! crystal system = trigonal
&SYSTEM
  ibrav = 0, nat = 4, ntyp = 3
/
ATOMIC_SPECIES
Se 78.96 Se.upf
Au 196.97 Au.upf
Pu 244.00 Pu.upf
ATOMIC_POSITIONS crystal
Se 0.4997 0.4997 0.5008
Au 0.6671 0.6671 0.9988
Pu 0.2491 0.2491 0.2528
Pu 0.0842 0.0842 0.7475
CELL_PARAMETERS angstrom
-0.1026 -2.1600 -3.3385
-0.8252 -3.8873 0.1708
-7.9097 -0.4369 -1.8439

# 7
! PBE Pu2AuSe, optimized geometry; values from VASP
! raw formation energy = -775 meV/atom
! D(E_F) = 3.181 states/eV/atom
! DFT total energy = -9.632 eV/atom
! crystal system = cubic
&SYSTEM
  ibrav = 0, nat = 4, ntyp = 3
/
ATOMIC_SPECIES
Se 78.96 Se.upf
Au 196.97 Au.upf
Pu 244.00 Pu.upf
ATOMIC_POSITIONS crystal
Se 0.0000 0.0000 0.0000
Au 0.5000 0.5000 0.5000
Pu 0.2500 0.2500 0.2500
Pu 0.7500 0.7500 0.7500
CELL_PARAMETERS angstrom
-3.6609 -2.2928 2.7285
0.1202 -5.0606 0.6923
1.0749 -1.9229 4.6098

# 8
! PBE PuAuSe, optimized geometry; values from VASP
! raw formation energy = -832 meV/atom
! D(E_F) = 3.535 states/eV/atom
! DFT total energy = -7.864 eV/atom
! crystal system = trigonal
&SYSTEM
  ibrav = 0, nat = 6, ntyp = 3
/
ATOMIC_SPECIES
Se 78.96 Se.upf
Au 196.97 Au.upf
Pu 244.00 Pu.upf
ATOMIC_POSITIONS crystal
Se 0.8818 0.8818 0.3547
Au 0.3638 0.3638 0.9087
Pu 0.7617 0.7617 0.7150
Au 0.6362 0.6362 0.0913
Se 0.1182 0.1182 0.6453
Pu 0.2383 0.2383 0.2850
CELL_PARAMETERS angstrom
4.8036 0.0000 0.0000
2.4018 4.1600 0.0000
2.4018 1.3867 8.0467

# 9
! PBE PuTlAuSe2, optimized geometry; values from VASP
! raw formation energy = -633 meV/atom
! D(E_F) = 2.815 states/eV/atom
! DFT total energy = -6.022 eV/atom
! crystal system = monoclinic
&SYSTEM
  ibrav = 0, nat = 10, ntyp = 4
/
ATOMIC_SPECIES
Au 196.97 Au.upf
Tl 204.38 Tl.upf
Se 78.96 Se.upf
Pu 244.00 Pu.upf
ATOMIC_POSITIONS crystal
Au 0.0000 0.0000 0.0000
Tl 0.1670 0.5000 0.7500
Tl 0.8330 0.5000 0.2500
Se 0.6922 0.7435 0.9477
Se 0.3078 0.2565 0.0523
Pu 0.4963 0.0000 0.2500
Au 0.0000 0.0000 0.5000
Pu 0.5037 0.0000 0.7500
Se 0.3078 0.7435 0.4477
Se 0.6922 0.2565 0.5523
CELL_PARAMETERS angstrom
-2.5222 4.4703 -1.1148
-5.5468 -1.9180 4.8583
5.0315 3.9913 4.6215

# 10
! PBE Pu2TlAuSe4, optimized geometry; values from VASP
! raw formation energy = -1000 meV/atom
! D(E_F) = 2.561 states/eV/atom
! DFT total energy = -7.030 eV/atom
! crystal system = orthorhombic
&SYSTEM
  ibrav = 0, nat = 16, ntyp = 4
/
ATOMIC_SPECIES
Pu 244.00 Pu.upf
Se 78.96 Se.upf
Tl 204.38 Tl.upf
Au 196.97 Au.upf
ATOMIC_POSITIONS crystal
Pu 0.6306 0.2611 0.4336
Se 0.2659 0.5319 0.1039
Se 0.4511 0.9021 0.7500
Pu 0.3694 0.7389 0.5664
Se 0.7341 0.4681 0.6039
Tl 0.1248 0.2496 0.7500
Au 0.1567 0.3134 0.2500
Pu 0.6306 0.2611 0.0664
Au 0.8433 0.6866 0.7500
Se 0.2659 0.5319 0.3961
Se 0.7341 0.4681 0.8961
Se 0.0000 0.0000 0.0000
Tl 0.8752 0.7504 0.2500
Pu 0.3694 0.7389 0.9336
Se 0.5489 0.0979 0.2500
Se 0.0000 0.0000 0.5000
CELL_PARAMETERS angstrom
4.2239 0.0000 0.0000
-2.1119 7.0676 0.0000
0.0000 0.0000 14.6727

# 11
! PBE PuTl2AuSe4, optimized geometry; values from VASP
! raw formation energy = -602 meV/atom
! D(E_F) = 1.261 states/eV/atom
! DFT total energy = -5.137 eV/atom
! crystal system = monoclinic
&SYSTEM
  ibrav = 0, nat = 8, ntyp = 4
/
ATOMIC_SPECIES
Se 78.96 Se.upf
Au 196.97 Au.upf
Pu 244.00 Pu.upf
Tl 204.38 Tl.upf
ATOMIC_POSITIONS crystal
Se 0.5000 0.2706 0.7008
Au 0.5000 0.5000 0.0000
Se 0.0000 0.3279 0.2133
Se 0.0000 0.6721 0.7867
Pu 0.0000 0.5000 0.5000
Se 0.5000 0.7294 0.2992
Tl 0.0000 0.0000 0.0000
Tl 0.5000 0.0000 0.5000
CELL_PARAMETERS angstrom
-3.5575 -1.8837 0.1416
2.6817 -5.4877 -5.6287
3.2528 -5.9040 3.1826

> D(E_F) of number 4 (Pu3Au5Se12)?

1.745 states/eV/atom

Copy entry 7 word for word.
! PBE Pu2AuSe, optimized geometry; values from VASP
! raw formation energy = -775 meV/atom
! D(E_F) = 3.181 states/eV/atom
! DFT total energy = -9.632 eV/atom
! crystal system = cubic
&SYSTEM
  ibrav = 0, nat = 4, ntyp = 3
/
ATOMIC_SPECIES
Se 78.96 Se.upf
Au 196.97 Au.upf
Pu 244.00 Pu.upf
ATOMIC_POSITIONS crystal
Se 0.0000 0.0000 0.0000
Au 0.5000 0.5000 0.5000
Pu 0.2500 0.2500 0.2500
Pu 0.7500 0.7500 0.7500
CELL_PARAMETERS angstrom
-3.6609 -2.2928 2.7285
0.1202 -5.0606 0.6923
1.0749 -1.9229 4.6098